(1)
# AgPd2S PBE relaxed
# **Calculated volume**: 20.87 Å³ per atom
# **E_tot**: -67.5 eV for the cell shown
# **Uncorrected formation energy**: 0.122 eV per atom
data_AgPd2S
_cell_length_a 4.7239
_cell_length_b 4.7239
_cell_length_c 14.9662
_cell_angle_alpha 90.00
_cell_angle_beta 90.00
_cell_angle_gamma 90.00
_symmetry_space_group_name_H-M 'I -4 2 d'
_symmetry_Int_Tables_number 122
_symmetry_space_group_name_Hall 'I -4 2bw'
loop_
_atom_site_label
_atom_site_fract_x
_atom_site_fract_y
_atom_site_fract_z
_atom_site_occupancy
Ag1 0.0000 0.0000 0.0000 1
Pd1 0.1291 0.2500 0.6250 1
S1 0.0000 0.0000 0.5000 1

---

(2)
# CePu5Ir4 PBE relaxed
# **Calculated volume**: 23.85 Å³ per atom
# **E_tot**: -233.9 eV for the cell shown
# **E_form**: -0.39 eV/atom
data_CePu5Ir4
_cell_length_a 14.4403
_cell_length_b 4.8265
_cell_length_c 6.8456
_cell_angle_alpha 90.00
_cell_angle_beta 91.36
_cell_angle_gamma 90.00
_symmetry_space_group_name_H-M 'C 1 2/m 1'
_symmetry_Int_Tables_number 12
loop_
_symmetry_equiv_pos_as_xyz
'x,y,z'
'-x,-y,-z'
'-x,y,-z'
'x,-y,z'
'x+1/2,y+1/2,z'
'-x+1/2,-y+1/2,-z'
'-x+1/2,y+1/2,-z'
'x+1/2,-y+1/2,z'
loop_
_atom_site_label
_atom_site_fract_x
_atom_site_fract_y
_atom_site_fract_z
_atom_site_occupancy
Ce1 0.0000 0.0000 0.0000 1
Pu1 0.0000 0.0000 0.5000 1
Pu2 0.1658 0.5000 0.9939 1
Pu3 0.1695 0.5000 0.4985 1
Ir1 0.0063 0.5000 0.2536 1
Ir2 0.1679 0.0000 0.7495 1

---

(3)
# AcNd2HoTl2 PBE relaxed
# **Calculated volume**: 33.69 Å³ per atom
# **E_tot**: -48.9 eV for the cell shown
# **E_form**: -0.25 eV/atom
data_AcNd2HoTl2
_cell_length_a 4.9060
_cell_length_b 9.6057
_cell_length_c 8.5794
_cell_angle_alpha 90.00
_cell_angle_beta 90.00
_cell_angle_gamma 90.00
_symmetry_space_group_name_H-M 'P m c 21'
_symmetry_Int_Tables_number 26
loop_
_symmetry_equiv_pos_as_xyz
'x,y,z'
'-x,-y,z+1/2'
'-x,y,z'
'x,-y,z+1/2'
loop_
_atom_site_label
_atom_site_fract_x
_atom_site_fract_y
_atom_site_fract_z
_atom_site_occupancy
Ac1 0.0000 0.0831 0.0000 1
Nd1 0.0000 0.3251 0.3843 1
Nd2 0.5000 0.4207 0.0509 1
Ho1 0.5000 0.1888 0.6654 1
Tl1 0.0000 0.3716 0.7579 1
Tl2 0.5000 0.1229 0.2909 1

---

(4)
# MgGaSe3 PBE relaxed
# **Calculated volume**: 26.91 Å³ per atom
# **E_tot**: -14.9 eV for the cell shown
# **Uncorrected formation energy**: 0.027 eV per atom
data_MgGaSe3
_cell_length_a 5.1244
_cell_length_b 5.1244
_cell_length_c 5.1244
_cell_angle_alpha 90.00
_cell_angle_beta 90.00
_cell_angle_gamma 90.00
_symmetry_space_group_name_H-M 'P m -3 m'
_symmetry_Int_Tables_number 221
_symmetry_space_group_name_Hall '-P 4 2 3'
loop_
_atom_site_label
_atom_site_fract_x
_atom_site_fract_y
_atom_site_fract_z
_atom_site_occupancy
Mg1 0.0000 0.0000 0.0000 1
Ga1 0.5000 0.5000 0.5000 1
Se1 0.0000 0.0000 0.5000 1

---

(5)
# LaDy2Rh9 PBE relaxed
# **Calculated volume**: 17.79 Å³ per atom
# **E_tot**: -261.4 eV for the cell shown
# **E_form**: -0.57 eV/atom
data_LaDy2Rh9
_cell_length_a 5.2996
_cell_length_b 5.2996
_cell_length_c 26.3298
_cell_angle_alpha 90.00
_cell_angle_beta 90.00
_cell_angle_gamma 120.00
_symmetry_space_group_name_H-M 'R -3 m'
_symmetry_Int_Tables_number 166
_symmetry_space_group_name_Hall '-R 3 2"'
loop_
_atom_site_label
_atom_site_fract_x
_atom_site_fract_y
_atom_site_fract_z
_atom_site_occupancy
La1 0.0000 0.0000 0.0000 1
Dy1 0.0000 0.0000 0.1395 1
Rh1 0.0000 0.0000 0.3330 1
Rh2 0.0000 0.0000 0.5000 1
Rh3 0.0006 0.5003 0.9164 1

---

(6)
# Pm3Nd5Y2 PBE relaxed
# **Calculated volume**: 34.92 Å³ per atom
# **E_tot**: -197.3 eV for the cell shown
# **E_form**: 0.17 eV/atom
data_Pm3Nd5Y2
_cell_length_a 10.8675
_cell_length_b 14.8486
_cell_length_c 10.2184
_cell_angle_alpha 90.00
_cell_angle_beta 122.09
_cell_angle_gamma 90.00
_symmetry_space_group_name_H-M 'C 1 2/c 1'
_symmetry_Int_Tables_number 15
loop_
_symmetry_equiv_pos_as_xyz
'x,y,z'
'-x,-y,-z'
'-x,y,-z+1/2'
'x,-y,z+1/2'
'x+1/2,y+1/2,z'
'-x+1/2,-y+1/2,-z'
'-x+1/2,y+1/2,-z+1/2'
'x+1/2,-y+1/2,z+1/2'
loop_
_atom_site_label
_atom_site_fract_x
_atom_site_fract_y
_atom_site_fract_z
_atom_site_occupancy
Pm1 0.0000 0.2291 0.2500 1
Pm2 0.1533 0.1250 0.0583 1
Nd1 0.0000 0.0191 0.2500 1
Nd2 0.0000 0.2692 0.7500 1
Nd3 0.0000 0.4790 0.7500 1
Nd4 0.2468 0.3745 0.2478 1
Y1 0.1543 0.3743 0.5566 1

---

(7)
# KCoHg4 PBE relaxed
# **Calculated volume**: 26.89 Å³ per atom
# **E_tot**: -28.3 eV for the cell shown
# **E_form**: 0.39 eV/atom
data_KCoHg4
_cell_length_a 8.6422
_cell_length_b 8.6422
_cell_length_c 8.6422
_cell_angle_alpha 90.00
_cell_angle_beta 90.00
_cell_angle_gamma 90.00
_symmetry_space_group_name_H-M 'F -4 3 m'
_symmetry_Int_Tables_number 216
_symmetry_space_group_name_Hall 'F -4 2 3'
loop_
_atom_site_label
_atom_site_fract_x
_atom_site_fract_y
_atom_site_fract_z
_atom_site_occupancy
K1 0.0000 0.0000 0.0000 1
Co1 0.2500 0.2500 0.7500 1
Hg1 0.1246 0.1246 0.3754 1

---

(8)
# LiInS2 PBE relaxed
# **Calculated volume**: 23.20 Å³ per atom
# **E_tot**: -16.6 eV for the cell shown
# **Uncorrected formation energy**: -0.934 eV per atom
data_LiInS2
_cell_length_a 3.9987
_cell_length_b 3.9987
_cell_length_c 5.8046
_cell_angle_alpha 90.00
_cell_angle_beta 90.00
_cell_angle_gamma 90.00
_symmetry_space_group_name_H-M 'P -4 m 2'
_symmetry_Int_Tables_number 115
loop_
_symmetry_equiv_pos_as_xyz
'x,y,z'
'y,-x,-z'
'-x,-y,z'
'-y,x,-z'
'-x,y,z'
'-y,-x,-z'
'x,-y,z'
'y,x,-z'
loop_
_atom_site_label
_atom_site_fract_x
_atom_site_fract_y
_atom_site_fract_z
_atom_site_occupancy
Li1 0.0000 0.0000 0.0000 1
In1 0.5000 0.5000 0.5000 1
S1 0.0000 0.5000 0.2415 1